# 1
## Pm2GdEr (PBE)

Data for crystalline Pm2GdEr at its relaxed geometry.

Results
The value obtained for the electronic total energy is -7.02 eV per atom. Its density of states at the Fermi level is 6.48 states/eV per cell. The calculation puts the excess energy over the best structure of this formula in the dataset at 4 meV/atom. Its formation enthalpy at 0 K is 0.02 eV/atom.

abc: 3.6049 3.6049 10.1367
angles: 90.00 90.00 90.00
Last column: nearest neighbours and their distance in Å.
Atoms (fractional coordinates):
1 Pm 0.0000 0.0000 0.2466  4 Er 3.57, 4 Pm 3.60, 4 Gd 3.62
2 Er 0.5000 0.5000 0.0000  8 Pm 3.57, 4 Er 3.60
3 Gd 0.5000 0.5000 0.5000  4 Gd 3.60, 8 Pm 3.62
4 Pm 0.0000 0.0000 0.7534  4 Er 3.57, 4 Pm 3.60, 4 Gd 3.62

---

# 2
## PmGdEr2 (PBE)

Data for crystalline PmGdEr2 at its relaxed geometry.

Results
The value obtained for the electronic total energy is -6.88 eV per atom. Its density of states at the Fermi level is 8.04 states/eV per cell. The calculation puts the excess energy over the best structure of this formula in the dataset at 89 meV/atom. Its formation enthalpy at 0 K is 0.11 eV/atom.

abc: 5.6741 5.6741 5.6741
angles: 60.00 60.00 60.00
Last column: nearest neighbours and their distance in Å.
Atoms (fractional coordinates):
1 Er 0.7500 0.7500 0.7500  4 Gd 3.47, 4 Pm 3.47
2 Pm 0.5000 0.5000 0.5000  8 Er 3.47
3 Gd 0.0000 0.0000 0.0000  8 Er 3.47
4 Er 0.2500 0.2500 0.2500  4 Gd 3.47, 4 Pm 3.47

---

# 3
## PmGdEr (PBE)

Data for crystalline PmGdEr at its relaxed geometry.

Results
The value obtained for the electronic total energy is -7.73 eV per atom. Its density of states at the Fermi level is 5.43 states/eV per cell. The calculation puts the excess energy over the best structure of this formula in the dataset at 0 meV/atom. Its formation enthalpy at 0 K is 0.07 eV/atom.

abc: 3.5095 5.6569 5.6569
angles: 120.00 90.00 90.00
Last column: nearest neighbours and their distance in Å.
Atoms (fractional coordinates):
1 Er 0.1666 0.3333 0.6667  3 Pm 3.27, 2 Er 3.51
2 Pm 0.1669 0.0000 0.0000  3 Er 3.27, 2 Pm 3.51
3 Gd 0.6665 0.6667 0.3333  2 Gd 3.51, 6 Pm 3.71, 6 Er 3.71

---

# 4
## PmGd4Er (PBE)

Data for crystalline PmGd4Er at its relaxed geometry.

Results
The value obtained for the electronic total energy is -10.68 eV per atom. Its density of states at the Fermi level is 12.02 states/eV per cell. Its formation enthalpy at 0 K is 0.26 eV/atom.

abc: 6.5906 6.5906 6.5906
angles: 60.00 60.00 60.00
Last column: nearest neighbours and their distance in Å.
Atoms (fractional coordinates):
1 Gd 0.6253 0.6253 0.6253  6 Gd 3.29-3.30
2 Er 0.0000 0.0000 0.0000  12 Gd 3.86, 4 Pm 4.04
3 Pm 0.2500 0.2500 0.2500  12 Gd 3.86, 4 Er 4.04
4 Gd 0.6253 0.6253 0.1242  6 Gd 3.29-3.30
5 Gd 0.6253 0.1242 0.6253  6 Gd 3.29-3.30
6 Gd 0.1242 0.6253 0.6253  6 Gd 3.29-3.30

---

# 5
## Pm2GdEr (PBE)

Data for crystalline Pm2GdEr at its relaxed geometry.

Results
The value obtained for the electronic total energy is -7.02 eV per atom. Its density of states at the Fermi level is 5.44 states/eV per cell. The calculation puts the excess energy over the best structure of this formula in the dataset at 2 meV/atom. Its formation enthalpy at 0 K is 0.02 eV/atom.

abc: 3.6030 3.6030 11.8725
angles: 81.27 81.27 60.00
Last column: nearest neighbours and their distance in Å.
Atoms (fractional coordinates):
1 Pm 0.2509 0.2509 0.2472  3 Er 3.56, 6 Pm 3.60, 3 Gd 3.61
2 Pm 0.7491 0.7491 0.7528  3 Er 3.56, 6 Pm 3.60, 3 Gd 3.61
3 Er 0.0000 0.0000 0.0000  6 Pm 3.56, 6 Er 3.60
4 Gd 0.5000 0.5000 0.5000  6 Gd 3.60, 6 Pm 3.61

---

# 6
## PmGdErRu (PBE)

Data for crystalline PmGdErRu at its relaxed geometry.

Results
The value obtained for the electronic total energy is -8.04 eV per atom. Its density of states at the Fermi level is 6.42 states/eV per cell. Its formation enthalpy at 0 K is 0.13 eV/atom.

abc: 5.1997 5.1997 5.1997
angles: 60.00 60.00 60.00
Last column: nearest neighbours and their distance in Å.
Atoms (fractional coordinates):
1 Pm 0.0000 0.0000 0.0000  4 Er 3.18, 4 Ru 3.18
2 Er 0.7500 0.7500 0.7500  4 Gd 3.18, 4 Pm 3.18
3 Gd 0.5000 0.5000 0.5000  4 Er 3.18, 4 Ru 3.18
4 Ru 0.2500 0.2500 0.2500  4 Gd 3.18, 4 Pm 3.18

---

# 7
## PmGdErSc (PBE)

Data for crystalline PmGdErSc at its relaxed geometry.

Results
The value obtained for the electronic total energy is -7.34 eV per atom. Its density of states at the Fermi level is 6.56 states/eV per cell. Its formation enthalpy at 0 K is 0.10 eV/atom.

abc: 5.5627 5.5627 5.5627
angles: 60.00 60.00 60.00
Last column: nearest neighbours and their distance in Å.
Atoms (fractional coordinates):
1 Er 0.0000 0.0000 0.0000  4 Pm 3.41, 4 Gd 3.41
2 Gd 0.7500 0.7500 0.7500  4 Sc 3.41, 4 Er 3.41
3 Pm 0.2500 0.2500 0.2500  4 Sc 3.41, 4 Er 3.41
4 Sc 0.5000 0.5000 0.5000  4 Gd 3.41, 4 Pm 3.41

---

# 8
## PmSmGdEr (PBE)

Data for crystalline PmSmGdEr at its relaxed geometry.

Results
The value obtained for the electronic total energy is -6.91 eV per atom. Its density of states at the Fermi level is 7.38 states/eV per cell. Its formation enthalpy at 0 K is 0.12 eV/atom.

abc: 5.7231 5.7231 5.7231
angles: 60.00 60.00 60.00
Last column: nearest neighbours and their distance in Å.
Atoms (fractional coordinates):
1 Er 0.5000 0.5000 0.5000  4 Gd 3.50, 4 Sm 3.50
2 Gd 0.2500 0.2500 0.2500  4 Pm 3.50, 4 Er 3.50
3 Sm 0.7500 0.7500 0.7500  4 Er 3.50, 4 Pm 3.50
4 Pm 0.0000 0.0000 0.0000  4 Sm 3.50, 4 Gd 3.50

---

# 9
## TbPmGdEr (PBE)

Data for crystalline TbPmGdEr at its relaxed geometry.

Results
The value obtained for the electronic total energy is -6.89 eV per atom. Its density of states at the Fermi level is 8.74 states/eV per cell. Its formation enthalpy at 0 K is 0.12 eV/atom.

abc: 5.6940 5.6940 5.6940
angles: 60.00 60.00 60.00
Last column: nearest neighbours and their distance in Å.
Atoms (fractional coordinates):
1 Pm 0.7500 0.7500 0.7500  4 Tb 3.49, 4 Er 3.49
2 Tb 0.0000 0.0000 0.0000  4 Gd 3.49, 4 Pm 3.49
3 Er 0.5000 0.5000 0.5000  4 Pm 3.49, 4 Gd 3.49
4 Gd 0.2500 0.2500 0.2500  4 Tb 3.49, 4 Er 3.49

---

# 10
## PmGdErTl (PBE)

Data for crystalline PmGdErTl at its relaxed geometry.

Results
The value obtained for the electronic total energy is -6.52 eV per atom. Its density of states at the Fermi level is 4.96 states/eV per cell. Its formation enthalpy at 0 K is -0.08 eV/atom.

abc: 5.5133 5.5133 5.5133
angles: 60.00 60.00 60.00
Last column: nearest neighbours and their distance in Å.
Atoms (fractional coordinates):
1 Tl 0.7500 0.7500 0.7500  4 Gd 3.38, 4 Pm 3.38
2 Pm 0.5000 0.5000 0.5000  4 Tl 3.38, 4 Er 3.38
3 Er 0.2500 0.2500 0.2500  4 Pm 3.38, 4 Gd 3.38
4 Gd 0.0000 0.0000 0.0000  4 Er 3.38, 4 Tl 3.38

---

# 11
## PmGdErTm (PBE)

Data for crystalline PmGdErTm at its relaxed geometry.

Results
The value obtained for the electronic total energy is -6.86 eV per atom. Its density of states at the Fermi level is 7.73 states/eV per cell. Its formation enthalpy at 0 K is 0.10 eV/atom.

abc: 5.6669 5.6669 5.6669
angles: 60.00 60.00 60.00
Last column: nearest neighbours and their distance in Å.
Atoms (fractional coordinates):
1 Tm 0.2500 0.2500 0.2500  4 Pm 3.47, 4 Gd 3.47
2 Er 0.7500 0.7500 0.7500  4 Gd 3.47, 4 Pm 3.47
3 Gd 0.5000 0.5000 0.5000  4 Er 3.47, 4 Tm 3.47
4 Pm 0.0000 0.0000 0.0000  4 Er 3.47, 4 Tm 3.47

---

# 12
## PmGdErZr (PBE)

Data for crystalline PmGdErZr at its relaxed geometry.

Results
The value obtained for the electronic total energy is -7.76 eV per atom. Its density of states at the Fermi level is 9.17 states/eV per cell. Its formation enthalpy at 0 K is 0.22 eV/atom.

abc: 5.5142 5.5142 5.5142
angles: 60.00 60.00 60.00
Last column: nearest neighbours and their distance in Å.
Atoms (fractional coordinates):
1 Zr 0.0000 0.0000 0.0000  4 Er 3.38, 4 Pm 3.38
2 Er 0.7500 0.7500 0.7500  4 Gd 3.38, 4 Zr 3.38
3 Pm 0.2500 0.2500 0.2500  4 Gd 3.38, 4 Zr 3.38
4 Gd 0.5000 0.5000 0.5000  4 Er 3.38, 4 Pm 3.38

---

# 13
## PrGd2Er (PBE)

Data for crystalline PrGd2Er at its relaxed geometry.

Results
The value obtained for the electronic total energy is -9.36 eV per atom. Its density of states at the Fermi level is 6.94 states/eV per cell. The calculation puts the excess energy over the best structure of this formula in the dataset at 0 meV/atom. Its formation enthalpy at 0 K is 0.02 eV/atom.

abc: 5.1038 5.0711 5.0711
angles: 90.00 90.00 90.00
Last column: nearest neighbours and their distance in Å.
Atoms (fractional coordinates):
1 Gd 0.0000 0.0000 0.5000  4 Gd 3.59, 4 Pr 3.60, 4 Er 3.60
2 Gd 0.0000 0.5000 0.0000  4 Gd 3.59, 4 Pr 3.60, 4 Er 3.60
3 Pr 0.5000 0.5000 0.5000  4 Er 3.59, 8 Gd 3.60
4 Er 0.5000 0.0000 0.0000  4 Pr 3.59, 8 Gd 3.60

---

# 14
## PrGd2Er (PBE)

Data for crystalline PrGd2Er at its relaxed geometry.

Results
The value obtained for the electronic total energy is -9.35 eV per atom. Its density of states at the Fermi level is 6.96 states/eV per cell. The calculation puts the excess energy over the best structure of this formula in the dataset at 7 meV/atom. Its formation enthalpy at 0 K is 0.03 eV/atom.

abc: 3.5971 3.5971 11.9271
angles: 81.33 81.33 60.00
Last column: nearest neighbours and their distance in Å.
Atoms (fractional coordinates):
1 Gd 0.7480 0.7480 0.7560  3 Er 3.54, 6 Gd 3.60, 3 Pr 3.65
2 Er 0.0000 0.0000 0.0000  6 Gd 3.54, 6 Er 3.60
3 Pr 0.5000 0.5000 0.5000  6 Pr 3.60, 6 Gd 3.65
4 Gd 0.2520 0.2520 0.2440  3 Er 3.54, 6 Gd 3.60, 3 Pr 3.65

---

# 15
## PrGd2Er (PBE)

Data for crystalline PrGd2Er at its relaxed geometry.

Results
The value obtained for the electronic total energy is -9.28 eV per atom. Its density of states at the Fermi level is 6.05 states/eV per cell. The calculation puts the excess energy over the best structure of this formula in the dataset at 73 meV/atom. Its formation enthalpy at 0 K is 0.09 eV/atom.

abc: 5.7156 5.7156 5.7156
angles: 60.00 60.00 60.00
Last column: nearest neighbours and their distance in Å.
Atoms (fractional coordinates):
1 Gd 0.7500 0.7500 0.7500  4 Pr 3.50, 4 Er 3.50
2 Gd 0.2500 0.2500 0.2500  4 Pr 3.50, 4 Er 3.50
3 Pr 0.5000 0.5000 0.5000  8 Gd 3.50
4 Er 0.0000 0.0000 0.0000  8 Gd 3.50